[1]
# PBE La2IrPb, relaxed
# **Spin magnetization**: 0.00 μB/f.u.
# **Electronic total energy**: -5.7746 eV/atom
data_La2IrPb
_cell_length_a 3.593
_cell_length_b 3.593
_cell_length_c 8.897
_cell_angle_alpha 90.00
_cell_angle_beta 90.00
_cell_angle_gamma 90.00
_space_group_name_H-M_alt 'P 1'
_space_group_IT_number 1
loop_
_space_group_symop_operation_xyz
'x,y,z'
loop_
_atom_site_label
_atom_site_type_symbol
_atom_site_fract_x
_atom_site_fract_y
_atom_site_fract_z
La1 La 0.000 0.000 0.000
La2 La 0.500 0.500 0.376
Ir1 Ir 0.500 0.500 0.814
Pb1 Pb 0.000 0.000 0.634


[2]
# PBE La2IrPb, relaxed
# **Spin magnetization**: 0.00 μB/f.u.
# **Electronic total energy**: -6.0415 eV/atom
data_La2IrPb
_cell_length_a 5.075
_cell_length_b 5.075
_cell_length_c 4.193
_cell_angle_alpha 90.00
_cell_angle_beta 90.00
_cell_angle_gamma 90.00
_space_group_name_H-M_alt 'P 1'
_space_group_IT_number 1
loop_
_space_group_symop_operation_xyz
'x,y,z'
loop_
_atom_site_label
_atom_site_type_symbol
_atom_site_fract_x
_atom_site_fract_y
_atom_site_fract_z
La1 La 0.000 0.500 0.000
La2 La 0.500 0.000 0.000
Ir1 Ir 0.000 0.000 0.500
Pb1 Pb 0.500 0.500 0.500


[3]
# PBE La2IrPb2, relaxed
# **Spin magnetization**: 0.00 μB/f.u.
# **Electronic total energy**: -5.5834 eV/atom
data_La2IrPb2
_cell_length_a 7.428
_cell_length_b 7.428
_cell_length_c 5.049
_cell_angle_alpha 90.00
_cell_angle_beta 90.00
_cell_angle_gamma 90.00
_space_group_name_H-M_alt 'P 1'
_space_group_IT_number 1
loop_
_space_group_symop_operation_xyz
'x,y,z'
loop_
_atom_site_label
_atom_site_type_symbol
_atom_site_fract_x
_atom_site_fract_y
_atom_site_fract_z
La1 La 0.170 0.330 0.000
La2 La 0.330 0.830 0.000
La3 La 0.670 0.170 0.000
La4 La 0.830 0.670 0.000
Ir1 Ir 0.000 0.000 0.500
Ir2 Ir 0.500 0.500 0.500
Pb1 Pb 0.145 0.645 0.500
Pb2 Pb 0.355 0.145 0.500
Pb3 Pb 0.645 0.855 0.500
Pb4 Pb 0.855 0.355 0.500


[4]
# PBE LaIrPb2, relaxed
# **Spin magnetization**: 0.00 μB/f.u.
# **Electronic total energy**: -5.3334 eV/atom
data_LaIrPb2
_cell_length_a 11.736
_cell_length_b 11.736
_cell_length_c 11.736
_cell_angle_alpha 158.35
_cell_angle_beta 158.35
_cell_angle_gamma 30.81
_space_group_name_H-M_alt 'P 1'
_space_group_IT_number 1
loop_
_space_group_symop_operation_xyz
'x,y,z'
loop_
_atom_site_label
_atom_site_type_symbol
_atom_site_fract_x
_atom_site_fract_y
_atom_site_fract_z
La1 La 0.000 0.000 0.000
La2 La 0.750 0.250 0.500
Ir1 Ir 0.250 0.750 0.500
Ir2 Ir 0.500 0.500 0.000
Pb1 Pb 0.149 0.625 0.024
Pb2 Pb 0.375 0.399 0.524
Pb3 Pb 0.601 0.125 0.976
Pb4 Pb 0.875 0.851 0.476


[5]
# PBE LaIrPb2, relaxed
# **Spin magnetization**: 0.00 μB/f.u.
# **Electronic total energy**: -5.5225 eV/atom
data_LaIrPb2
_cell_length_a 6.471
_cell_length_b 6.471
_cell_length_c 5.188
_cell_angle_alpha 113.56
_cell_angle_beta 113.56
_cell_angle_gamma 32.04
_space_group_name_H-M_alt 'P 1'
_space_group_IT_number 1
loop_
_space_group_symop_operation_xyz
'x,y,z'
loop_
_atom_site_label
_atom_site_type_symbol
_atom_site_fract_x
_atom_site_fract_y
_atom_site_fract_z
La1 La 0.000 0.000 0.000
Ir1 Ir 0.500 0.500 0.500
Pb1 Pb 0.205 0.205 0.705
Pb2 Pb 0.795 0.795 0.295


[6]
# PBE La2IrPb, relaxed
# **Spin magnetization**: 0.00 μB/f.u.
# **Electronic total energy**: -6.0284 eV/atom
data_La2IrPb
_cell_length_a 6.826
_cell_length_b 6.826
_cell_length_c 6.826
_cell_angle_alpha 104.33
_cell_angle_beta 104.33
_cell_angle_gamma 120.34
_space_group_name_H-M_alt 'P 1'
_space_group_IT_number 1
loop_
_space_group_symop_operation_xyz
'x,y,z'
loop_
_atom_site_label
_atom_site_type_symbol
_atom_site_fract_x
_atom_site_fract_y
_atom_site_fract_z
La1 La 0.066 0.125 0.441
La2 La 0.375 0.934 0.059
La3 La 0.684 0.625 0.559
La4 La 0.875 0.316 0.941
Ir1 Ir 0.000 0.000 0.000
Ir2 Ir 0.750 0.250 0.500
Pb1 Pb 0.250 0.750 0.500
Pb2 Pb 0.500 0.500 0.000


no.,energy relative to the elements (eV per atom)
1,-0.169
2,-0.435
3,-0.357
4,-0.032
5,-0.221
6,-0.422